VASP calculation (PBE with a Hubbard U) on an optimized crystal structure of LiMnF3.

a b c (Å): 7.973 7.973 7.973
angles (deg): 111.52 78.93 145.60
Fractional coordinates of all 20 atoms:
Li  0.103  0.250  0.853
Li  0.397  0.250  0.147
Li  0.603  0.750  0.853
Li  0.897  0.750  0.147
Mn  0.103  0.643  0.746
Mn  0.397  0.143  0.541
Mn  0.603  0.857  0.459
Mn  0.897  0.357  0.254
F  0.075  0.395  0.470
F  0.083  0.867  0.950
F  0.236  0.106  0.342
F  0.264  0.606  0.870
F  0.417  0.367  0.783
F  0.425  0.895  0.320
F  0.575  0.105  0.680
F  0.583  0.633  0.217
F  0.736  0.394  0.130
F  0.764  0.894  0.658
F  0.917  0.133  0.050
F  0.925  0.605  0.530

Output
Space group: Ibam
Crystal system: orthorhombic
Offset from the most stable computed form (meV/atom): 76
Raw total energy (eV per atom): -5.697